## AcZnPt (GGA-PBE)

Data for a relaxed AcZnPt crystal.

Values from the calculation:
The space group is No. 187. Its crystal system is hexagonal. The calculation puts the energy above the most stable polymorph in this dataset at 0 meV per atom. For the density of states at the Fermi level, the calculation gives 1.528 states/eV/cell. The calculated formation energy comes out at -865 meV per atom.

Unit cell a=4.5074 b=4.5074 c=4.1769 alpha=90.00 beta=90.00 gamma=120.00
Last column: nearest neighbours and their distance in Å.
Atoms (fractional coordinates):
Ac  0.0000  0.0000  0.0000  6 Pt 3.34, 6 Zn 3.34
Zn  0.3333  0.6667  0.5000  3 Pt 2.60
Pt  0.6667  0.3333  0.5000  3 Zn 2.60

---

## Mg3H4Ir3 (GGA-PBE)

Data for a relaxed Mg3H4Ir3 crystal.

Values from the calculation:
The space group is No. 1. Its crystal system is triclinic. The calculation puts the energy above the most stable polymorph in this dataset at 2 meV per atom. For the density of states at the Fermi level, the calculation gives 1.353 states/eV/cell.

Unit cell a=5.0940 b=5.3413 c=5.3462 alpha=62.32 beta=67.83 gamma=67.89
Last column: nearest neighbours and their distance in Å.
Atoms (fractional coordinates):
Mg  0.0000  0.0000  0.0000  3 H 2.43-2.49
Mg  0.1102  0.3387  0.3378  4 H 2.20-2.31
Mg  0.5592  0.6838  0.6872  2 H 2.32, 2 Ir 2.55-2.56
H  0.4671  0.0697  0.0758  2 Ir 1.76
H  0.5538  0.3174  0.3248  2 Ir 1.75, 2 H 1.93-1.95
H  0.8563  0.4846  0.0074  2 Ir 1.74-1.83, 1 H 1.93
H  0.8614  0.9979  0.4947  2 Ir 1.74-1.83
Ir  0.0731  0.6624  0.6757  2 H 1.74
Ir  0.5329  0.6889  0.1971  3 H 1.75-1.83
Ir  0.5369  0.1899  0.6947  3 H 1.75-1.83

---

## Ac2PrTeO8 (GGA-PBE)

Data for a relaxed Ac2PrTeO8 crystal.

Values from the calculation:
The space group is No. 10. Its crystal system is monoclinic. The raw formation energy is -2.374 eV per atom.

Unit cell a=4.4712 b=7.4646 c=5.6916 alpha=90.00 beta=94.41 gamma=90.00
Last column: nearest neighbours and their distance in Å.
Atoms (fractional coordinates):
Ac  0.0000  0.2441  0.0000  6 O 2.39-2.66
Ac  0.0000  0.7559  0.0000  6 O 2.39-2.66
Pr  0.5000  0.5000  0.5000  6 O 2.37-2.62
Te  0.5000  0.0000  0.5000  6 O 1.95-1.99
O  0.0500  0.5000  0.2509  1 Pr 2.37, 2 Ac 2.39
O  0.1001  0.0000  0.3386  1 Te 1.95, 1 O 2.10
O  0.4367  0.1979  0.7259  1 Te 1.99
O  0.4367  0.8021  0.7259  1 Te 1.99
O  0.5633  0.1979  0.2741  1 Te 1.99
O  0.5633  0.8021  0.2741  1 Te 1.99
O  0.8999  0.0000  0.6614  1 Te 1.95, 1 O 2.10
O  0.9500  0.5000  0.7491  1 Pr 2.37, 2 Ac 2.39

---

## CrAs2Pt (GGA-PBE)

Data for a relaxed CrAs2Pt crystal.

Values from the calculation:
The space group is No. 10. Its crystal system is monoclinic. The calculation puts the energy above the most stable polymorph in this dataset at 49 meV per atom. For the density of states at the Fermi level, the calculation gives 2.614 states/eV/cell. The calculated formation energy comes out at -31 meV per atom.

Unit cell a=3.9671 b=3.4359 c=5.2497 alpha=90.00 beta=109.88 gamma=90.00
Last column: nearest neighbours and their distance in Å.
Atoms (fractional coordinates):
Cr  0.0000  0.0000  0.0000  6 As 2.62
As  0.0000  0.0000  0.5000  4 Pt 2.62, 2 Cr 2.62
As  0.5000  0.5000  0.0000  4 Cr 2.62, 2 Pt 2.62
Pt  0.5000  0.5000  0.5000  6 As 2.62

---

## LiGa2Au8 (GGA-PBE)

Data for a relaxed LiGa2Au8 crystal.

Values from the calculation:
The space group is No. 1. Its crystal system is triclinic. For the density of states at the Fermi level, the calculation gives 2.977 states/eV/cell. The calculated formation energy comes out at -201 meV per atom.

Unit cell a=5.0006 b=5.7852 c=7.5830 alpha=105.79 beta=106.40 gamma=98.30
Last column: nearest neighbours and their distance in Å.
Atoms (fractional coordinates):
Li  0.0000  0.0000  0.0000  8 Au 2.69-2.93
Ga  0.2800  0.3699  0.6852  8 Au 2.62-2.84
Ga  0.7233  0.6324  0.3147  8 Au 2.62-2.84
Au  0.1915  0.9566  0.3764  2 Ga 2.62-2.73, 1 Li 2.84, 3 Au 2.87-2.93
Au  0.2154  0.4363  0.3340  3 Ga 2.69-2.84, 1 Li 2.85, 4 Au 2.87-2.96
Au  0.2810  0.6426  0.0332  2 Ga 2.63-2.68, 1 Li 2.69, 5 Au 2.84-2.93
Au  0.3617  0.8740  0.7608  1 Ga 2.76, 7 Au 2.84-3.08, 2 Li 2.93-3.06
Au  0.6414  0.1284  0.2391  1 Ga 2.76, 7 Au 2.84-3.08, 2 Li 2.92-3.07
Au  0.7227  0.3598  0.9666  2 Ga 2.63-2.68, 1 Li 2.69, 5 Au 2.84-2.93
Au  0.7877  0.5653  0.6654  3 Ga 2.69-2.84, 1 Li 2.85, 4 Au 2.87-2.96
Au  0.8120  0.0454  0.6235  2 Ga 2.62-2.73, 1 Li 2.84, 3 Au 2.87-2.93

---

## Ca3As2 (GGA-PBE)

Data for a relaxed Ca3As2 crystal.

Values from the calculation:
The space group is No. 164. Its crystal system is trigonal. The calculated formation energy comes out at -1149 meV per atom.

Unit cell a=4.8172 b=4.8172 c=7.1494 alpha=90.00 beta=90.00 gamma=120.00
Last column: nearest neighbours and their distance in Å.
Atoms (fractional coordinates):
Ca  0.0000  0.0000  0.0000  6 As 3.22
Ca  0.3333  0.6667  0.3389  4 As 2.89-3.11
Ca  0.6667  0.3333  0.6610  4 As 2.89-3.11
As  0.3333  0.6667  0.7734  7 Ca 2.89-3.22
As  0.6667  0.3333  0.2266  7 Ca 2.89-3.22

---

## LaPt2I (GGA-PBE)

Data for a relaxed LaPt2I crystal.

Values from the calculation:
The space group is No. 122. Its crystal system is tetragonal. The calculation puts the energy above the most stable polymorph in this dataset at 0 meV per atom. For the density of states at the Fermi level, the calculation gives 0.713 states/eV/cell. The raw formation energy is -0.470 eV per atom.

Unit cell a=4.7821 b=4.7821 c=20.8813 alpha=90.00 beta=90.00 gamma=90.00
Last column: nearest neighbours and their distance in Å.
Atoms (fractional coordinates):
La  0.0000  0.0000  0.0000  4 Pt 2.91
La  0.0000  0.5000  0.2500  4 Pt 2.91
La  0.5000  0.0000  0.7500  4 Pt 2.91
La  0.5000  0.5000  0.5000  4 Pt 2.91
Pt  0.0943  0.7500  0.1250  2 Pt 2.56
Pt  0.2500  0.0943  0.8750  2 Pt 2.56
Pt  0.2500  0.4057  0.3750  2 Pt 2.56
Pt  0.4057  0.7500  0.6250  2 Pt 2.56
Pt  0.5943  0.2500  0.6250  2 Pt 2.56
Pt  0.7500  0.5943  0.3750  2 Pt 2.56
Pt  0.7500  0.9057  0.8750  2 Pt 2.56
Pt  0.9057  0.2500  0.1250  2 Pt 2.56
I  0.0000  0.0000  0.5000  4 La 3.38, 4 Pt 3.47
I  0.0000  0.5000  0.7500  4 La 3.38, 4 Pt 3.47
I  0.5000  0.0000  0.2500  4 La 3.38, 4 Pt 3.47
I  0.5000  0.5000  0.0000  4 La 3.38, 4 Pt 3.47

---

## LaPr2NdHo5 (GGA-PBE)

Data for a relaxed LaPr2NdHo5 crystal.

Values from the calculation:
The space group is No. 140. Its crystal system is tetragonal. For the density of states at the Fermi level, the calculation gives 18.919 states/eV/cell. The calculated formation energy comes out at 239 meV per atom.

Unit cell a=10.0119 b=10.0119 c=10.0119 alpha=128.22 beta=128.22 gamma=76.26
Last column: nearest neighbours and their distance in Å.
Atoms (fractional coordinates):
La  0.2500  0.7500  0.5000  4 Ho 3.13
La  0.7500  0.2500  0.5000  4 Ho 3.13
Pr  0.1185  0.6185  0.7370  1 Pr 2.93, 2 Ho 3.04
Pr  0.3815  0.1185  0.5000  1 Pr 2.93, 2 Ho 3.04
Pr  0.6185  0.8815  0.5000  1 Pr 2.93, 2 Ho 3.04
Pr  0.8815  0.3815  0.2630  1 Pr 2.93, 2 Ho 3.04
Nd  0.2500  0.2500  0.0000  10 Ho 3.60-3.94
Nd  0.7500  0.7500  0.0000  10 Ho 3.60-3.94
Ho  0.0000  0.0000  0.0000  4 Pr 3.49, 8 Ho 3.81
Ho  0.0711  0.1543  0.5000  1 Pr 3.04, 1 La 3.13
Ho  0.1543  0.6543  0.0832  1 Pr 3.04, 1 La 3.13
Ho  0.3457  0.4289  0.5000  1 Pr 3.04, 1 La 3.13
Ho  0.4289  0.9289  0.0832  1 Pr 3.04, 1 La 3.13
Ho  0.5000  0.5000  0.0000  4 Pr 3.49, 8 Ho 3.81
Ho  0.5711  0.0711  0.9168  1 Pr 3.04, 1 La 3.13
Ho  0.6543  0.5711  0.5000  1 Pr 3.04, 1 La 3.13
Ho  0.8457  0.3457  0.9168  1 Pr 3.04, 1 La 3.13
Ho  0.9289  0.8457  0.5000  1 Pr 3.04, 1 La 3.13

---

## DyPu3N4 (GGA-PBE)

Data for a relaxed DyPu3N4 crystal.

Values from the calculation:
The space group is No. 65. Its crystal system is orthorhombic. For the density of states at the Fermi level, the calculation gives 34.538 states/eV/cell. The raw formation energy is -1.364 eV per atom.

Unit cell a=6.9678 b=9.8444 c=3.4831 alpha=90.00 beta=90.00 gamma=90.00
Last column: nearest neighbours and their distance in Å.
Atoms (fractional coordinates):
Dy  0.0000  0.0000  0.0000  6 N 2.49
Dy  0.5000  0.5000  0.0000  6 N 2.49
Pu  0.0000  0.5000  0.0000  6 N 2.44
Pu  0.2500  0.2500  0.5000  6 N 2.46
Pu  0.2500  0.7500  0.5000  6 N 2.46
Pu  0.5000  0.0000  0.0000  6 N 2.44
Pu  0.7500  0.2500  0.5000  6 N 2.46
Pu  0.7500  0.7500  0.5000  6 N 2.46
N  0.0000  0.2524  0.0000  5 Pu 2.44-2.46, 1 Dy 2.49
N  0.0000  0.7476  0.0000  5 Pu 2.44-2.46, 1 Dy 2.49
N  0.2454  0.5000  0.5000  4 Pu 2.44-2.46, 2 Dy 2.49
N  0.2546  0.0000  0.5000  4 Pu 2.44-2.46, 2 Dy 2.49
N  0.5000  0.2476  0.0000  5 Pu 2.44-2.46, 1 Dy 2.49
N  0.5000  0.7524  0.0000  5 Pu 2.44-2.46, 1 Dy 2.49
N  0.7454  0.0000  0.5000  4 Pu 2.44-2.46, 2 Dy 2.49
N  0.7546  0.5000  0.5000  4 Pu 2.44-2.46, 2 Dy 2.49

---

## K2PBr (GGA-PBE)

Data for a relaxed K2PBr crystal.

Values from the calculation:
The space group is No. 12. Its crystal system is monoclinic. The calculation puts the energy above the most stable polymorph in this dataset at 51 meV per atom. For the density of states at the Fermi level, the calculation gives 2.980 states/eV/cell. The raw formation energy is -0.545 eV per atom.

Unit cell a=8.1609 b=4.6870 c=8.3927 alpha=90.00 beta=108.69 gamma=90.00
Last column: nearest neighbours and their distance in Å.
Atoms (fractional coordinates):
K  0.2483  0.0000  0.2459  3 Br 3.34-3.35, 3 P 3.38
K  0.2517  0.5000  0.7541  3 Br 3.34-3.35, 3 P 3.38
K  0.7483  0.5000  0.2459  3 Br 3.34-3.35, 3 P 3.38
K  0.7517  0.0000  0.7541  3 Br 3.34-3.35, 3 P 3.38
P  0.0000  0.0000  0.5000  6 K 3.38
P  0.5000  0.5000  0.5000  6 K 3.38
Br  0.0000  0.5000  0.0000  6 K 3.34-3.35
Br  0.5000  0.0000  0.0000  6 K 3.34-3.35

---

## InRh2Se (GGA-PBE)

Data for a relaxed InRh2Se crystal.

Values from the calculation:
The space group is No. 8. Its crystal system is monoclinic. For the density of states at the Fermi level, the calculation gives 6.058 states/eV/cell. The raw formation energy is -0.161 eV per atom.

Unit cell a=9.4667 b=3.2105 c=4.6928 alpha=90.00 beta=103.95 gamma=90.00
Last column: nearest neighbours and their distance in Å.
Atoms (fractional coordinates):
In  0.0000  0.0000  0.0000  7 Rh 2.71-2.88
In  0.5000  0.5000  0.0000  7 Rh 2.71-2.88
Rh  0.0226  0.5000  0.5181  3 Se 2.61-2.70, 4 In 2.82-2.88
Rh  0.2477  0.5000  0.1765  2 Se 2.48, 1 In 2.71
Rh  0.5226  0.0000  0.5181  3 Se 2.61-2.70, 4 In 2.82-2.88
Rh  0.7477  0.0000  0.1765  2 Se 2.48, 1 In 2.71
Se  0.2457  0.0000  0.5783  5 Rh 2.48-2.70
Se  0.7457  0.5000  0.5783  5 Rh 2.48-2.70

---

## Sr3ScPa3As8 (GGA-PBE)

Data for a relaxed Sr3ScPa3As8 crystal.

Values from the calculation:
The space group is No. 166. Its crystal system is trigonal. For the density of states at the Fermi level, the calculation gives 0.436 states/eV/cell. The calculated formation energy comes out at -1046 meV per atom.

Unit cell a=8.6333 b=8.6333 c=8.6333 alpha=58.03 beta=58.03 gamma=58.03
Last column: nearest neighbours and their distance in Å.
Atoms (fractional coordinates):
Sr  0.0000  0.5000  0.5000  6 As 3.13-3.20
Sr  0.5000  0.0000  0.5000  6 As 3.13-3.20
Sr  0.5000  0.5000  0.0000  6 As 3.13-3.20
Sc  0.5000  0.5000  0.5000  6 As 2.85
Pa  0.0000  0.0000  0.5000  6 As 2.83-2.89
Pa  0.0000  0.5000  0.0000  6 As 2.83-2.89
Pa  0.5000  0.0000  0.0000  6 As 2.83-2.89
As  0.2339  0.7370  0.7370  2 Pa 2.83, 1 Sc 2.85
As  0.2403  0.2403  0.2403  3 Pa 2.89, 3 Sr 3.13
As  0.2630  0.2630  0.7661  2 Pa 2.83, 1 Sc 2.85
As  0.2630  0.7661  0.2630  2 Pa 2.83, 1 Sc 2.85
As  0.7370  0.2339  0.7370  2 Pa 2.83, 1 Sc 2.85
As  0.7370  0.7370  0.2339  2 Pa 2.83, 1 Sc 2.85
As  0.7597  0.7597  0.7597  3 Pa 2.89, 3 Sr 3.13
As  0.7661  0.2630  0.2630  2 Pa 2.83, 1 Sc 2.85

---

Magnetic moment readings, ordered: 0.000 0.000 1.021 2.907 0.000 0.000 0.000 0.000 28.854 4.000 0.000 0.000 Bohr magnetons per cell